Compound: CrAg2BC
Source: Alexandria
Functional: PBE
Structure: optimized geometry

Computed properties:
As for the energy of formation: 2.077 eV/atom. Its symmetry is P4/mmm, No. 123.

The structure in POSCAR format:
```
CrAg2BC
1.0
4.995 0.000 0.000
0.000 3.607 0.000
0.000 0.000 4.995
Cr C B Ag
1 1 1 2
Direct
0.000 0.000 0.000
0.000 0.500 0.000
0.500 0.500 0.500
0.000 0.000 0.500
0.500 0.000 0.000
```